CdCoOF2: relaxed, PBE with a Hubbard U.

Cell lengths 4.841, 3.365, 4.841 Å; angles 90.00, 90.00, 90.00 degrees
Site moments in Bohr magnetons follow the coordinates.
Positions (direct):
F (0.000, 0.000, 0.500)  0.14
F (0.500, 0.000, 0.000)  0.08
Co (0.000, 0.500, 0.000)  2.66
O (0.000, 0.000, 0.000)  0.59
Cd (0.500, 0.500, 0.500)  0.01

Output
**Fermi-level density of states**: 0.328 states/eV per atom
**Polymorph energy (0 for the lowest one)**: 3.20 eV per formula unit